An optimized crystal structure of KTiF2, computed with PBE.

abc: 7.326 7.326 7.326
angles: 27.66 27.66 27.66
Last column: magnetic moment on the atom in μB.
Fractional positions:
F: 0.908 0.908 0.908  0.00
Ti: 0.000 0.000 0.000  0.81
K: 0.500 0.500 0.500  0.00
F: 0.092 0.092 0.092  0.00

Computed properties:
Crystal system: trigonal
Excess energy over the best structure of this formula in the dataset (meV per atom): 0
Final energy (eV per cell): -21.45
Fermi-level density of states (states/eV/f.u.): 1.6
Uncorrected formation energy (eV per atom): -2.18
SG: R-3m, No. 166